Density functional theory data (PBE-GGA) for a relaxed Zr3Tl crystal.

```
data_Zr3Tl
_chemical_formula_sum 'Zr6 Tl2'
_space_group_name_H-M_alt 'P 63/m m c'
_space_group_IT_number 194
_space_group_name_Hall '-P 6c 2c'
_cell_length_a 6.3124
_cell_length_b 6.3124
_cell_length_c 5.2316
_cell_angle_alpha 90.00
_cell_angle_beta 90.00
_cell_angle_gamma 120.00
loop_
_atom_site_label
_atom_site_fract_x
_atom_site_fract_y
_atom_site_fract_z
Zr1 0.1672 0.3344 0.2500
Tl1 0.3333 0.6667 0.7500
```

Calculated values
* VASP energy: -7.092 eV/atom
* crystal system: hexagonal
* theoretical density: 8.79 g/cm3

Density functional theory data (PBE-GGA) for a relaxed ZrTl crystal.

```
data_ZrTl
_chemical_formula_sum 'Zr4 Tl4'
_space_group_name_H-M_alt 'P n m a'
_space_group_IT_number 62
_space_group_name_Hall '-P 2ac 2n'
_cell_length_a 5.828
_cell_length_b 5.215
_cell_length_c 6.052
_cell_angle_alpha 90.00
_cell_angle_beta 90.00
_cell_angle_gamma 90.00
loop_
_atom_site_label
_atom_site_fract_x
_atom_site_fract_y
_atom_site_fract_z
Zr1 0.124 0.250 0.122
Tl1 0.114 0.250 0.628
```

Calculated values
* VASP energy: -5.460 eV/atom
* crystal system: orthorhombic
* theoretical density: 10.67 g/cm3

Density functional theory data (PBE-GGA) for a relaxed ZrTl crystal.

```
data_ZrTl
_chemical_formula_sum 'Zr8 Tl8'
_space_group_name_H-M_alt 'P m m n'
_space_group_IT_number 59
_cell_length_a 5.255
_cell_length_b 6.125
_cell_length_c 11.869
_cell_angle_alpha 90.00
_cell_angle_beta 90.00
_cell_angle_gamma 90.00
loop_
_space_group_symop_operation_xyz
'x,y,z'
'-x,-y,-z'
'-x+1/2,-y+1/2,z'
'x+1/2,y+1/2,-z'
'x+1/2,-y,-z'
'-x+1/2,y,z'
'-x,y+1/2,-z'
'x,-y+1/2,z'
loop_
_atom_site_label
_atom_site_fract_x
_atom_site_fract_y
_atom_site_fract_z
Zr1 0.250 0.005 0.076
Zr2 0.250 0.250 0.310
Zr3 0.250 0.250 0.824
Tl1 0.250 0.002 0.573
Tl2 0.250 0.750 0.304
Tl3 0.250 0.750 0.846
```

Calculated values
* VASP energy: -5.393 eV/atom
* crystal system: orthorhombic
* theoretical density: 10.28 g/cm3

Density functional theory data (PBE-GGA) for a relaxed Zr3Tl crystal.

```
data_Zr3Tl
_chemical_formula_sum 'Zr6 Tl2'
_space_group_name_H-M_alt 'P m m n'
_space_group_IT_number 59
_cell_length_a 5.226
_cell_length_b 6.137
_cell_length_c 5.663
_cell_angle_alpha 90.00
_cell_angle_beta 90.00
_cell_angle_gamma 90.00
loop_
_space_group_symop_operation_xyz
'x,y,z'
'-x,-y,-z'
'-x+1/2,-y+1/2,z'
'x+1/2,y+1/2,-z'
'x+1/2,-y,-z'
'-x+1/2,y,z'
'-x,y+1/2,-z'
'x,-y+1/2,z'
loop_
_atom_site_label
_atom_site_fract_x
_atom_site_fract_y
_atom_site_fract_z
Zr1 0.250 0.000 0.150
Zr2 0.250 0.250 0.649
Tl1 0.250 0.750 0.660
```

Calculated values
* VASP energy: -7.070 eV/atom
* crystal system: orthorhombic
* theoretical density: 8.74 g/cm3